No. 1
First-principles (GGA-PBEsol) data for crystalline Rb2LiGdCl6 at its relaxed geometry, as listed in the Alexandria database.

abc: 7.2770 7.2770 7.2770
angles: 60.00 60.00 60.00
Fractional coordinates of all 10 atoms:
Rb (0.2500, 0.2500, 0.2500)
Rb (0.7500, 0.7500, 0.7500)
Li (0.0000, 0.0000, 0.0000)
Gd (0.5000, 0.5000, 0.5000)
Cl (0.2448, 0.2448, 0.7552)
Cl (0.2448, 0.7552, 0.2448)
Cl (0.2448, 0.7552, 0.7552)
Cl (0.7552, 0.2448, 0.2448)
Cl (0.7552, 0.2448, 0.7552)
Cl (0.7552, 0.7552, 0.2448)

Properties
As for the symmetry: Fm-3m, No. 225. The density of states at the Fermi level comes out at 0.00 states/eV per cell. The total energy comes out at -5.139 eV per atom.

***

No. 2
First-principles (GGA-PBEsol) data for crystalline Na2GdCl5 at its relaxed geometry, as listed in the Alexandria database.

abc: 11.8528 8.1902 7.5825
angles: 90.00 90.00 90.00
Fractional coordinates of all 32 atoms:
Na (0.1758, 0.0013, 0.0301)
Na (0.1758, 0.4987, 0.0301)
Na (0.3242, 0.5013, 0.5301)
Na (0.3242, 0.9987, 0.5301)
Na (0.6758, 0.0013, 0.4699)
Na (0.6758, 0.4987, 0.4699)
Na (0.8242, 0.5013, 0.9699)
Na (0.8242, 0.9987, 0.9699)
Gd (0.0079, 0.7500, 0.5827)
Gd (0.4921, 0.2500, 0.0827)
Gd (0.5079, 0.7500, 0.9173)
Gd (0.9921, 0.2500, 0.4173)
Cl (0.0078, 0.7500, 0.9422)
Cl (0.0888, 0.0462, 0.6635)
Cl (0.0888, 0.4538, 0.6635)
Cl (0.1812, 0.7500, 0.3562)
Cl (0.2121, 0.2500, 0.3159)
Cl (0.2879, 0.7500, 0.8159)
Cl (0.3188, 0.2500, 0.8562)
Cl (0.4112, 0.5462, 0.1635)
Cl (0.4112, 0.9538, 0.1635)
Cl (0.4922, 0.2500, 0.4422)
Cl (0.5078, 0.7500, 0.5578)
Cl (0.5888, 0.0462, 0.8365)
Cl (0.5888, 0.4538, 0.8365)
Cl (0.6812, 0.7500, 0.1438)
Cl (0.7121, 0.2500, 0.1841)
Cl (0.7879, 0.7500, 0.6841)
Cl (0.8188, 0.2500, 0.6438)
Cl (0.9112, 0.5462, 0.3365)
Cl (0.9112, 0.9538, 0.3365)
Cl (0.9922, 0.2500, 0.0578)

Properties
As for the symmetry: Pnma, No. 62. The density of states at the Fermi level comes out at 0.00 states/eV per cell. The total energy comes out at -5.448 eV per atom.

***

No. 3
First-principles (GGA-PBEsol) data for crystalline Rb2NaGdCl6 at its relaxed geometry, as listed in the Alexandria database.

abc: 7.5097 7.5097 7.5097
angles: 60.00 60.00 60.00
Fractional coordinates of all 10 atoms:
Rb (0.2500, 0.2500, 0.2500)
Rb (0.7500, 0.7500, 0.7500)
Na (0.0000, 0.0000, 0.0000)
Gd (0.5000, 0.5000, 0.5000)
Cl (0.2529, 0.2529, 0.7471)
Cl (0.2529, 0.7471, 0.2529)
Cl (0.2529, 0.7471, 0.7471)
Cl (0.7471, 0.2529, 0.2529)
Cl (0.7471, 0.2529, 0.7471)
Cl (0.7471, 0.7471, 0.2529)

Properties
As for the symmetry: Fm-3m, No. 225. The density of states at the Fermi level comes out at 0.00 states/eV per cell. The total energy comes out at -5.067 eV per atom.

***

No. 4
First-principles (GGA-PBEsol) data for crystalline GdClO at its relaxed geometry, as listed in the Alexandria database.

abc: 3.9015 3.9015 6.6465
angles: 90.00 90.00 90.00
Fractional coordinates of all 6 atoms:
Gd (0.2500, 0.2500, 0.1732)
Gd (0.7500, 0.7500, 0.8268)
Cl (0.2500, 0.2500, 0.6280)
Cl (0.7500, 0.7500, 0.3720)
O (0.2500, 0.7500, 0.0000)
O (0.7500, 0.2500, 0.0000)

Properties
As for the symmetry: P4/nmm, No. 129. The density of states at the Fermi level comes out at 0.00 states/eV per cell. The total energy comes out at -10.341 eV per atom.

***

Repeat the third record exactly.
First-principles (GGA-PBEsol) data for crystalline Rb2NaGdCl6 at its relaxed geometry, as listed in the Alexandria database.

abc: 7.5097 7.5097 7.5097
angles: 60.00 60.00 60.00
Fractional coordinates of all 10 atoms:
Rb (0.2500, 0.2500, 0.2500)
Rb (0.7500, 0.7500, 0.7500)
Na (0.0000, 0.0000, 0.0000)
Gd (0.5000, 0.5000, 0.5000)
Cl (0.2529, 0.2529, 0.7471)
Cl (0.2529, 0.7471, 0.2529)
Cl (0.2529, 0.7471, 0.7471)
Cl (0.7471, 0.2529, 0.2529)
Cl (0.7471, 0.2529, 0.7471)
Cl (0.7471, 0.7471, 0.2529)

Properties
As for the symmetry: Fm-3m, No. 225. The density of states at the Fermi level comes out at 0.00 states/eV per cell. The total energy comes out at -5.067 eV per atom.